Density functional theory data (GGA-PBE) for a geometry-optimized Ca8CdHg2 structure.

Calculated values
As for the spin magnetization: 0.0 μB/cell. As for the crystal system: orthorhombic. Its calculated total energy is -40.125 eV for the cell shown. For the formation energy, the calculation gives -230 meV per atom. Its polymorph energy (0 for the lowest one) is 0.11 eV per formula unit.

a b c (Å): 5.2615 9.1421 15.0988
angles (deg): 90.00 90.00 90.00
Space group Immm (No. 71)
Inequivalent atoms, fractional coordinates:
Ca: 0.0000 0.0000 0.1353 (multiplicity 4)
Ca: 0.0000 0.2150 0.3374 (multiplicity 8)
Ca: 0.0000 0.3183 0.0000 (multiplicity 4)
Cd: 0.0000 0.5000 0.5000 (multiplicity 2)
Hg: 0.0000 0.5000 0.1951 (multiplicity 4)

***

Density functional theory data (GGA-PBE) for a geometry-optimized CaCd5Hg6 structure.

Calculated values
As for the spin magnetization: 0.0 μB/cell. As for the crystal system: monoclinic. Its calculated total energy is -19.452 eV for the cell shown. For the formation energy, the calculation gives -112 meV per atom. Its polymorph energy (0 for the lowest one) is 0.00 eV per formula unit.

a b c (Å): 8.9309 15.4698 5.0738
angles (deg): 90.00 123.12 90.00
Space group C2/m (No. 12)
Inequivalent atoms, fractional coordinates:
Ca: 0.0000 0.0000 0.0000 (multiplicity 2)
Cd: 0.0000 0.1629 0.5000 (multiplicity 4)
Cd: 0.0000 0.3244 0.0000 (multiplicity 4)
Cd: 0.0000 0.5000 0.5000 (multiplicity 2)
Hg: 0.2339 0.5000 0.2357 (multiplicity 4)
Hg: 0.2414 0.3329 0.7407 (multiplicity 8)

***

Density functional theory data (GGA-PBE) for a geometry-optimized Ca3Cd3Hg2 structure.

Calculated values
As for the spin magnetization: 0.0 μB/cell. As for the crystal system: orthorhombic. Its calculated total energy is -49.420 eV for the cell shown. For the formation energy, the calculation gives -375 meV per atom. Its polymorph energy (0 for the lowest one) is 0.12 eV per formula unit.

a b c (Å): 4.6884 11.5264 16.4233
angles (deg): 90.00 90.00 90.00
Space group Cmcm (No. 63)
Inequivalent atoms, fractional coordinates:
Ca: 0.0000 0.0761 0.1080 (multiplicity 8)
Ca: 0.0000 0.3452 0.2500 (multiplicity 4)
Cd: 0.0000 0.3773 0.7500 (multiplicity 4)
Cd: 0.0000 0.3843 0.0384 (multiplicity 8)
Hg: 0.0000 0.2164 0.6116 (multiplicity 8)

***

Which value of polymorph energy (0 for the lowest one) does entry 1 give?
0.11 eV per formula unit

***

spin magnetization of number 3 (Ca3Cd3Hg2)?
0.0 μB/cell

***

Among the records above, which one has the lowest calculated total energy?
Ca3Cd3Hg2